{"formula": "K2PrMo3O12", "functional": "PBE with a Hubbard U", "state": "optimized geometry", "total_energy_ev_per_atom": -6.667, "magnetic_moment_mub_per_fu": 1.0, "lattice": [[3.778, 2.181, 6.260], [-3.778, 2.181, 6.260], [0.000, -4.363, 6.260]], "species": ["K", "K", "Pr", "Mo", "Mo", "Mo", "O", "O", "O", "O", "O", "O", "O", "O", "O", "O", "O", "O"], "fractional_positions": [[0.149, 0.149, 0.149], [0.851, 0.851, 0.851], [0.500, 0.500, 0.500], [0.000, 0.500, 0.500], [0.500, 0.000, 0.500], [0.500, 0.500, 0.000], [0.121, 0.590, 0.590], [0.208, 0.208, 0.568], [0.208, 0.568, 0.208], [0.410, 0.410, 0.879], [0.410, 0.879, 0.410], [0.432, 0.792, 0.792], [0.568, 0.208, 0.208], [0.590, 0.121, 0.590], [0.590, 0.590, 0.121], [0.792, 0.432, 0.792], [0.792, 0.792, 0.432], [0.879, 0.410, 0.410]]}


{"formula": "K4Pr3MoO8", "functional": "PBE with a Hubbard U", "state": "optimized geometry", "total_energy_ev_per_atom": -6.392, "magnetic_moment_mub_per_fu": 3.0, "lattice": [[3.586, 2.070, 6.282], [-3.586, 2.070, 6.282], [0.000, -4.140, 6.282]], "species": ["K", "K", "K", "K", "Pr", "Pr", "Pr", "Mo", "O", "O", "O", "O", "O", "O", "O", "O"], "fractional_positions": [[0.000, 0.000, 0.000], [0.000, 0.500, 0.500], [0.500, 0.000, 0.500], [0.500, 0.500, 0.000], [0.000, 0.000, 0.500], [0.000, 0.500, 0.000], [0.500, 0.000, 0.000], [0.500, 0.500, 0.500], [0.232, 0.232, 0.232], [0.247, 0.721, 0.721], [0.279, 0.279, 0.753], [0.279, 0.753, 0.279], [0.721, 0.247, 0.721], [0.721, 0.721, 0.247], [0.753, 0.279, 0.279], [0.768, 0.768, 0.768]]}


{"formula": "KPr2MoO6", "functional": "PBE with a Hubbard U", "state": "optimized geometry", "total_energy_ev_per_atom": -7.271, "magnetic_moment_mub_per_fu": 1.0, "lattice": [[5.701, 0.000, 0.000], [0.000, 6.187, 0.000], [-5.699, 0.000, 9.221]], "species": ["K", "K", "Pr", "Pr", "Pr", "Pr", "Mo", "Mo", "O", "O", "O", "O", "O", "O", "O", "O", "O", "O", "O", "O"], "fractional_positions": [[0.000, 0.000, 0.000], [0.000, 0.500, 0.500], [0.216, 0.001, 0.716], [0.216, 0.499, 0.216], [0.784, 0.501, 0.784], [0.784, 0.999, 0.284], [0.500, 0.000, 0.500], [0.500, 0.500, 0.000], [0.197, 0.699, 0.843], [0.197, 0.801, 0.343], [0.204, 0.149, 0.500], [0.204, 0.351, 0.000], [0.487, 0.197, 0.341], [0.487, 0.303, 0.841], [0.513, 0.697, 0.159], [0.513, 0.803, 0.659], [0.796, 0.649, 0.000], [0.796, 0.851, 0.500], [0.803, 0.199, 0.657], [0.803, 0.301, 0.157]]}


> What is the formula in the second record?

K4Pr3MoO8